# 1
DFT (GGA-PBEsol) results for crystalline InFe2Os at its relaxed geometry.

extended XYZ file:
```
4
Lattice="-2.095 1.348 1.110 -1.548 -2.236 -0.207 2.110 -2.062 6.484" Properties=species:S:1:pos:R:3 pbc="T T T"
Fe 1.531 -1.496 4.705
Fe 0.579 -0.566 1.779
In -1.821 -0.444 0.452
Os -0.766 -1.475 3.693
```

Values from the calculation:
DFT formation energy = 0.231 eV per atom

=====

# 2
DFT (GGA-PBEsol) results for crystalline InFe2Os at its relaxed geometry.

extended XYZ file:
```
4
Lattice="2.719 0.000 0.000 0.000 4.619 0.020 0.000 -1.440 4.389" Properties=species:S:1:pos:R:3 pbc="T T T"
Fe 0.000 2.309 0.010
Fe 0.000 -0.720 2.194
In 1.359 0.000 0.000
Os 1.359 1.589 2.204
```

Values from the calculation:
DFT formation energy = 0.371 eV per atom

=====

# 3
DFT (GGA-PBEsol) results for crystalline InFe2Os at its relaxed geometry.

extended XYZ file:
```
4
Lattice="-1.827 2.319 0.363 -3.415 -2.640 -0.316 2.695 -0.445 4.214" Properties=species:S:1:pos:R:3 pbc="T T T"
Fe -2.550 -0.753 4.161
Fe -1.667 -1.645 2.119
In -2.620 -0.172 0.098
Os -0.878 0.876 2.168
```

Values from the calculation:
DFT formation energy = 0.306 eV per atom

=====

# 4
DFT (GGA-PBEsol) results for crystalline InFeOsPb2 at its relaxed geometry.

extended XYZ file:
```
5
Lattice="-2.357 -1.118 -3.699 1.554 -4.698 0.429 -3.945 -1.046 2.831" Properties=species:S:1:pos:R:3 pbc="T T T"
Pb -1.973 -0.523 1.415
Pb 0.777 -2.349 0.215
Os -1.179 -0.559 -1.850
Fe 0.000 0.000 0.000
In -2.374 -3.431 -0.220
```

Values from the calculation:
DFT formation energy = 0.932 eV per atom

=====

# 5
DFT (GGA-PBEsol) results for crystalline InFe3P at its relaxed geometry.

extended XYZ file:
```
5
Lattice="4.137 0.000 0.000 0.000 4.137 0.000 0.000 0.000 4.137" Properties=species:S:1:pos:R:3 pbc="T T T"
P 0.000 0.000 0.000
Fe 0.000 2.069 0.000
Fe 0.000 0.000 2.069
Fe 2.069 0.000 0.000
In 2.069 2.069 2.069
```

Values from the calculation:
DFT formation energy = 0.116 eV per atom

=====

# 6
DFT (GGA-PBEsol) results for crystalline InFe2P at its relaxed geometry.

extended XYZ file:
```
4
Lattice="2.971 0.000 0.000 0.000 4.095 0.000 0.000 0.000 4.095" Properties=species:S:1:pos:R:3 pbc="T T T"
Fe 0.000 0.000 2.047
Fe 0.000 2.047 0.000
In 1.485 2.047 2.047
P 1.485 0.000 0.000
```

Values from the calculation:
DFT formation energy = 0.238 eV per atom

=====

# 7
DFT (GGA-PBEsol) results for crystalline InFeP3 at its relaxed geometry.

extended XYZ file:
```
5
Lattice="-1.908 0.231 -3.943 -3.752 -1.475 1.729 -1.235 4.124 0.839" Properties=species:S:1:pos:R:3 pbc="T T T"
P -1.876 -0.737 0.864
P -0.617 2.062 0.420
P -0.954 0.116 -1.971
Fe 0.000 0.000 0.000
In -3.447 1.440 -0.687
```

Values from the calculation:
DFT formation energy = 0.378 eV per atom

=====

# 8
DFT (GGA-PBEsol) results for crystalline In2FePb at its relaxed geometry.

extended XYZ file:
```
4
Lattice="5.028 0.000 0.000 2.514 4.355 0.000 2.514 1.452 4.105" Properties=species:S:1:pos:R:3 pbc="T T T"
Fe 0.000 0.000 0.000
In 7.542 4.355 3.079
In 2.514 1.452 1.026
Pb 5.028 2.903 2.053
```

Values from the calculation:
DFT formation energy = 0.568 eV per atom
ΔE to the lowest computed polymorph = 256 meV/atom

=====

# 9
DFT (GGA-PBEsol) results for crystalline In2FePb at its relaxed geometry.

extended XYZ file:
```
4
Lattice="3.030 0.000 0.000 0.000 4.497 0.000 -1.515 -2.248 6.485" Properties=species:S:1:pos:R:3 pbc="T T T"
Fe 0.000 2.248 0.000
In 1.515 2.248 2.403
In 0.000 0.000 4.083
Pb 1.515 0.000 0.000
```

Values from the calculation:
DFT formation energy = 0.312 eV per atom
ΔE to the lowest computed polymorph = 0 meV/atom

=====

# 10
DFT (GGA-PBEsol) results for crystalline In2FePb at its relaxed geometry.

extended XYZ file:
```
4
Lattice="-0.289 -2.851 3.194 2.252 -2.824 -2.317 3.007 4.503 1.408" Properties=species:S:1:pos:R:3 pbc="T T T"
Fe 0.000 0.000 0.000
In 1.850 -0.593 2.520
In 3.120 -0.579 -0.235
Pb 0.982 -2.838 0.438
```

Values from the calculation:
DFT formation energy = 0.461 eV per atom
ΔE to the lowest computed polymorph = 150 meV/atom

=====

# 11
DFT (GGA-PBEsol) results for crystalline InFePb at its relaxed geometry.

extended XYZ file:
```
3
Lattice="-2.668 -0.734 -3.803 -0.174 -4.271 -1.963 -3.915 -2.585 0.337" Properties=species:S:1:pos:R:3 pbc="T T T"
Fe 0.000 0.000 0.000
In -3.378 -3.795 -2.715
Pb -1.689 -1.898 -1.357
```

Values from the calculation:
DFT formation energy = 0.889 eV per atom

=====

# 12
DFT (GGA-PBEsol) results for crystalline InFe2Pt at its relaxed geometry.

extended XYZ file:
```
4
Lattice="2.843 0.000 0.000 0.000 4.614 0.024 -1.421 -1.040 4.447" Properties=species:S:1:pos:R:3 pbc="T T T"
Fe 0.000 0.756 2.270
Fe 1.421 2.819 2.200
In 1.421 0.000 0.000
Pt 0.000 2.307 0.012
```

Values from the calculation:
DFT formation energy = 0.070 eV per atom

=====

# 13
DFT (GGA-PBEsol) results for crystalline In2FePt at its relaxed geometry.

extended XYZ file:
```
4
Lattice="-0.333 -1.586 -2.427 4.541 -1.361 0.266 -2.709 -2.558 3.797" Properties=species:S:1:pos:R:3 pbc="T T T"
Fe 2.330 -2.658 1.416
In 1.291 -5.253 1.500
In -0.279 -2.996 0.241
Pt 1.760 -1.575 -0.967
```

Values from the calculation:
DFT formation energy = -0.040 eV per atom
ΔE to the lowest computed polymorph = 0 meV/atom

=====

# 14
DFT (GGA-PBEsol) results for crystalline InFe2Pt at its relaxed geometry.

extended XYZ file:
```
4
Lattice="3.812 0.000 0.000 0.000 3.812 0.000 0.000 0.000 3.952" Properties=species:S:1:pos:R:3 pbc="T T T"
Fe 0.000 1.906 0.000
Fe 1.906 0.000 0.000
In 1.906 1.906 1.976
Pt 0.000 0.000 1.976
```

Values from the calculation:
DFT formation energy = -0.025 eV per atom

=====

# 15
DFT (GGA-PBEsol) results for crystalline In2FePt at its relaxed geometry.

extended XYZ file:
```
4
Lattice="4.586 0.000 0.000 2.293 3.971 0.000 2.293 1.324 3.744" Properties=species:S:1:pos:R:3 pbc="T T T"
Fe 4.586 2.648 1.872
In 0.000 0.000 0.000
In 6.879 3.971 2.808
Pt 2.293 1.324 0.936
```

Values from the calculation:
DFT formation energy = 0.165 eV per atom
ΔE to the lowest computed polymorph = 205 meV/atom

=====

# 16
DFT (GGA-PBEsol) results for crystalline InFe2Pt at its relaxed geometry.

extended XYZ file:
```
4
Lattice="-2.284 -0.820 1.793 -1.295 -1.445 -2.311 3.071 -5.202 1.532" Properties=species:S:1:pos:R:3 pbc="T T T"
Fe 0.080 -0.135 0.040
Fe -1.129 -2.252 0.071
In 1.483 -2.512 0.740
Pt 0.593 -5.169 0.930
```

Values from the calculation:
DFT formation energy = -0.042 eV per atom

=====

# 17
DFT (GGA-PBEsol) results for crystalline InFe2Pt at its relaxed geometry.

extended XYZ file:
```
4
Lattice="-1.741 1.409 1.811 -2.229 -1.365 1.209 3.469 -2.202 7.338" Properties=species:S:1:pos:R:3 pbc="T T T"
Fe 3.389 -2.165 7.232
Fe -0.243 -1.680 7.943
In -0.203 -1.101 5.241
Pt -0.224 -0.494 2.459
```

Values from the calculation:
DFT formation energy = 0.165 eV per atom

=====

# 18
DFT (GGA-PBEsol) results for crystalline In2FePt at its relaxed geometry.

extended XYZ file:
```
4
Lattice="-3.016 -0.645 0.119 0.757 -3.686 -0.800 0.466 -1.133 5.662" Properties=species:S:1:pos:R:3 pbc="T T T"
Fe -0.780 -3.016 3.908
In 0.451 -1.095 5.472
In -0.999 -2.483 1.244
Pt 0.235 -0.570 2.849
```

Values from the calculation:
DFT formation energy = 0.040 eV per atom
ΔE to the lowest computed polymorph = 80 meV/atom

=====

# 19
DFT (GGA-PBEsol) results for crystalline InFePt3 at its relaxed geometry.

extended XYZ file:
```
5
Lattice="4.825 0.000 0.000 0.000 4.825 0.000 0.000 0.000 4.825" Properties=species:S:1:pos:R:3 pbc="T T T"
Fe 2.413 2.413 2.413
Pt 0.000 2.413 0.000
Pt 0.000 0.000 2.413
Pt 2.413 0.000 0.000
In 0.000 0.000 0.000
```

Values from the calculation:
DFT formation energy = 1.573 eV per atom

=====

# 20
DFT (GGA-PBEsol) results for crystalline In2FePt at its relaxed geometry.

extended XYZ file:
```
4
Lattice="2.967 0.000 0.000 0.000 3.498 0.000 0.000 0.000 6.320" Properties=species:S:1:pos:R:3 pbc="T T T"
Fe 1.483 1.749 0.000
In 0.000 0.000 1.513
In 0.000 0.000 4.807
Pt 1.483 1.749 3.160
```

Values from the calculation:
DFT formation energy = -0.035 eV per atom
ΔE to the lowest computed polymorph = 5 meV/atom

=====

# 21
DFT (GGA-PBEsol) results for crystalline Rb3InFe at its relaxed geometry.

extended XYZ file:
```
5
Lattice="-2.311 -5.790 1.427 5.463 -1.441 2.997 -2.392 2.302 5.466" Properties=species:S:1:pos:R:3 pbc="T T T"
Fe 0.000 0.000 0.000
Rb 2.731 -0.721 1.498
Rb -1.196 1.151 2.733
Rb -1.155 -2.895 0.714
In 0.380 -2.465 4.945
```

Values from the calculation:
DFT formation energy = 0.983 eV per atom

=====

# 22
DFT (GGA-PBEsol) results for crystalline RbIn3Fe at its relaxed geometry.

extended XYZ file:
```
5
Lattice="5.029 0.000 0.000 0.000 5.029 0.000 0.000 0.000 5.029" Properties=species:S:1:pos:R:3 pbc="T T T"
Fe 0.000 0.000 0.000
Rb 2.514 2.514 2.514
In 0.000 2.514 0.000
In 0.000 0.000 2.514
In 2.514 0.000 0.000
```

Values from the calculation:
DFT formation energy = 0.007 eV per atom

=====

# 23
DFT (GGA-PBEsol) results for crystalline InFe2Re at its relaxed geometry.

extended XYZ file:
```
4
Lattice="2.774 0.000 0.000 1.387 2.402 0.000 1.387 0.801 8.468" Properties=species:S:1:pos:R:3 pbc="T T T"
Fe 1.387 0.801 1.994
Fe 4.161 2.402 6.474
In 2.774 1.601 4.234
Re 0.000 0.000 0.000
```

Values from the calculation:
DFT formation energy = 0.368 eV per atom

=====

# 24
DFT (GGA-PBEsol) results for crystalline In2FeRe at its relaxed geometry.

extended XYZ file:
```
4
Lattice="-1.215 2.576 0.010 -2.455 -1.161 0.860 2.207 1.011 7.669" Properties=species:S:1:pos:R:3 pbc="T T T"
Fe -0.731 1.213 4.269
In 1.628 0.746 5.657
In 0.579 0.265 2.012
Re -1.835 0.708 0.435
```

Values from the calculation:
DFT formation energy = 0.572 eV per atom
ΔE to the lowest computed polymorph = 16 meV/atom

=====

# 25
DFT (GGA-PBEsol) results for crystalline InFeRe2 at its relaxed geometry.

extended XYZ file:
```
4
Lattice="-1.481 -0.320 2.748 -3.734 -0.370 -2.055 0.554 -4.401 -0.214" Properties=species:S:1:pos:R:3 pbc="T T T"
Fe -0.463 -2.361 1.267
In -1.590 -2.386 -1.135
Re 0.000 0.000 0.000
Re -2.607 -0.345 0.346
```

Values from the calculation:
DFT formation energy = 0.498 eV per atom

=====

# 26
DFT (GGA-PBEsol) results for crystalline InFe2Re at its relaxed geometry.

extended XYZ file:
```
4
Lattice="2.864 0.000 0.000 0.000 4.360 0.000 0.000 0.000 4.360" Properties=species:S:1:pos:R:3 pbc="T T T"
Fe 0.000 0.000 2.180
Fe 0.000 2.180 0.000
In 1.432 2.180 2.180
Re 1.432 0.000 0.000
```

Values from the calculation:
DFT formation energy = 0.372 eV per atom

=====

# 27
DFT (GGA-PBEsol) results for crystalline In2FeRe at its relaxed geometry.

extended XYZ file:
```
4
Lattice="-3.929 -1.582 1.557 -3.128 -1.506 -2.884 -0.910 -4.414 -0.240" Properties=species:S:1:pos:R:3 pbc="T T T"
Re -3.984 -3.751 -0.783
Fe 0.000 0.000 0.000
In -1.992 -1.876 -0.392
In -5.975 -5.627 -1.175
```

Values from the calculation:
DFT formation energy = 0.595 eV per atom
ΔE to the lowest computed polymorph = 40 meV/atom

=====

# 28
DFT (GGA-PBEsol) results for crystalline InFeRe2 at its relaxed geometry.

extended XYZ file:
```
4
Lattice="-1.068 3.721 0.983 -2.774 -3.376 1.654 0.497 -0.878 3.864" Properties=species:S:1:pos:R:3 pbc="T T T"
Fe -0.286 1.422 2.423
In -1.815 0.444 4.462
Re 0.000 0.000 0.000
Re -1.530 -0.977 2.039
```

Values from the calculation:
DFT formation energy = 0.457 eV per atom

=====

# 29
DFT (GGA-PBEsol) results for crystalline In2FeRe at its relaxed geometry.

extended XYZ file:
```
4
Lattice="-1.233 -0.437 2.940 -2.697 -1.187 -1.308 2.432 -5.714 0.171" Properties=species:S:1:pos:R:3 pbc="T T T"
Fe -0.749 -3.669 0.901
In 1.803 -4.235 0.126
In 0.629 -1.479 0.044
Re -1.965 -0.812 0.816
```

Values from the calculation:
DFT formation energy = 0.567 eV per atom
ΔE to the lowest computed polymorph = 12 meV/atom

=====

# 30
DFT (GGA-PBEsol) results for crystalline InFe2Re at its relaxed geometry.

extended XYZ file:
```
4
Lattice="-2.400 1.522 0.187 -0.693 -1.387 2.388 3.321 4.776 3.738" Properties=species:S:1:pos:R:3 pbc="T T T"
Fe 0.037 0.053 0.041
Fe -0.855 1.062 2.066
In 1.609 2.314 1.811
Re 1.098 3.871 4.265
```

Values from the calculation:
DFT formation energy = 0.253 eV per atom

=====

| no. | volume (Å³/cell) |
| --- | --- |
| 1 | 52.98 |
| 2 | 55.19 |
| 3 | 55.12 |
| 4 | 111.69 |
| 5 | 70.80 |
| 6 | 49.81 |
| 7 | 84.38 |
| 8 | 89.89 |
| 9 | 88.36 |
| 10 | 86.56 |
| 11 | 73.58 |
| 12 | 58.40 |
| 13 | 67.11 |
| 14 | 57.44 |
| 15 | 68.19 |
| 16 | 56.74 |
| 17 | 59.22 |
| 18 | 68.79 |
| 19 | 112.35 |
| 20 | 65.59 |
| 21 | 261.57 |
| 22 | 127.15 |
| 23 | 56.42 |
| 24 | 65.26 |
| 25 | 59.61 |
| 26 | 54.46 |
| 27 | 65.00 |
| 28 | 59.36 |
| 29 | 64.44 |
| 30 | 56.07 |